Computed, not measured: crystalline PuInGa4 at its relaxed geometry at the PBE level of DFT. Values from VASP.

Calculated values
**Energy of formation**: -0.173 eV per atom
**Spin magnetization**: 5.705 μB per cell

Geometry as Quantum ESPRESSO input:
```
&SYSTEM
  ibrav = 0, nat = 6, ntyp = 3
/
ATOMIC_SPECIES
Pu 244.00 Pu.upf
In 114.82 In.upf
Ga 69.72 Ga.upf
CELL_PARAMETERS angstrom
-2.032 1.636 3.811
3.852 -0.599 2.312
3.634 5.156 -0.276
ATOMIC_POSITIONS crystal
Pu 0.500 0.500 0.000
In 0.000 0.000 0.000
Ga 0.000 0.328 0.343
Ga 0.500 0.188 0.625
Ga 0.000 0.672 0.657
Ga 0.500 0.812 0.375
```